No. 1
The following is a PBE calculation of a relaxed BeAgMo2 crystal, from Alexandria.

Structure (CIF):
```
data_BeAgMo2
_chemical_formula_sum 'Be1 Ag1 Mo2'
_symmetry_space_group_name_H-M 'P 4 m m'
_symmetry_Int_Tables_number 99
_cell_length_a 3.158
_cell_length_b 3.158
_cell_length_c 6.039
_cell_angle_alpha 90.00
_cell_angle_beta 90.00
_cell_angle_gamma 90.00
loop_
_symmetry_equiv_pos_as_xyz
'x,y,z'
'-y,x,z'
'-x,-y,z'
'y,-x,z'
'-x,y,z'
'y,x,z'
'x,-y,z'
'-y,-x,z'
loop_
_atom_site_label
_atom_site_type_symbol
_atom_site_fract_x
_atom_site_fract_y
_atom_site_fract_z
Be1 Be 0.000 0.000 0.000
Ag1 Ag 0.500 0.500 0.758
Mo1 Mo 0.000 0.000 0.435
Mo2 Mo 0.500 0.500 0.215
```

No. 2
The following is a PBE calculation of a relaxed Th2HS3 crystal, from Alexandria.

Structure (CIF):
```
data_Th2HS3
_chemical_formula_sum 'Th4 H2 S6'
_symmetry_space_group_name_H-M 'C m m m'
_symmetry_Int_Tables_number 65
_symmetry_space_group_name_Hall '-C 2 2'
_cell_length_a 3.897
_cell_length_b 18.829
_cell_length_c 3.834
_cell_angle_alpha 90.00
_cell_angle_beta 90.00
_cell_angle_gamma 90.00
loop_
_atom_site_label
_atom_site_type_symbol
_atom_site_fract_x
_atom_site_fract_y
_atom_site_fract_z
Th1 Th 0.000 0.101 0.000
H1 H 0.000 0.000 0.500
S1 S 0.000 0.346 0.500
S2 S 0.000 0.500 0.000
```

No. 3
The following is a PBE calculation of a relaxed K17Na11Tl crystal, from Alexandria.

Structure (CIF):
```
data_K17Na11Tl
_chemical_formula_sum 'K34 Na22 Tl2'
_symmetry_space_group_name_H-M 'C 1 m 1'
_symmetry_Int_Tables_number 8
_cell_length_a 14.700
_cell_length_b 20.559
_cell_length_c 12.623
_cell_angle_alpha 90.00
_cell_angle_beta 123.67
_cell_angle_gamma 90.00
loop_
_symmetry_equiv_pos_as_xyz
'x,y,z'
'x,-y,z'
'x+1/2,y+1/2,z'
'x+1/2,-y+1/2,z'
loop_
_atom_site_label
_atom_site_type_symbol
_atom_site_fract_x
_atom_site_fract_y
_atom_site_fract_z
K1 K 0.000 0.000 0.000
K2 K 0.000 0.330 0.325
K3 K 0.110 0.205 0.642
K4 K 0.222 0.500 0.018
K5 K 0.268 0.371 0.319
K6 K 0.314 0.000 0.676
K7 K 0.317 0.298 0.018
K8 K 0.333 0.000 0.330
K9 K 0.358 0.359 0.711
K10 K 0.481 0.165 0.901
K11 K 0.495 0.500 0.600
Na1 Na 0.007 0.500 0.153
Na2 Na 0.053 0.090 0.328
Na3 Na 0.084 0.415 0.659
Na4 Na 0.147 0.181 0.143
Na5 Na 0.236 0.090 0.958
Na6 Na 0.313 0.183 0.498
Tl1 Tl 0.167 0.500 0.484
```

No. 4
The following is a PBE calculation of a relaxed Mg2Ag2Hg crystal, from Alexandria.

Values from the calculation:
polymorph energy (0 for the lowest one)	0.071	eV/atom

Structure (CIF):
```
data_Mg2Ag2Hg
_chemical_formula_sum 'Mg4 Ag4 Hg2'
_symmetry_space_group_name_H-M 'P 4/m b m'
_symmetry_Int_Tables_number 127
_symmetry_space_group_name_Hall '-P 4 2ab'
_cell_length_a 7.800
_cell_length_b 7.800
_cell_length_c 3.338
_cell_angle_alpha 90.00
_cell_angle_beta 90.00
_cell_angle_gamma 90.00
loop_
_atom_site_label
_atom_site_type_symbol
_atom_site_fract_x
_atom_site_fract_y
_atom_site_fract_z
Mg1 Mg 0.156 0.344 0.000
Ag1 Ag 0.137 0.637 0.500
Hg1 Hg 0.000 0.000 0.000
```

No. 5
The following is a PBE calculation of a relaxed InSiCl crystal, from Alexandria.

Values from the calculation:
formation energy without anion corrections	-2.222	kcal/mol of atoms

Structure (CIF):
```
data_InSiCl
_chemical_formula_sum 'In2 Si2 Cl2'
_symmetry_space_group_name_H-M 'I 4 m m'
_symmetry_Int_Tables_number 107
_symmetry_space_group_name_Hall 'I 4 -2'
_cell_length_a 3.983
_cell_length_b 3.983
_cell_length_c 10.771
_cell_angle_alpha 90.00
_cell_angle_beta 90.00
_cell_angle_gamma 90.00
loop_
_atom_site_label
_atom_site_type_symbol
_atom_site_fract_x
_atom_site_fract_y
_atom_site_fract_z
In1 In 0.000 0.000 0.000
Si1 Si 0.000 0.000 0.520
Cl1 Cl 0.000 0.000 0.727
```

No. 6
The following is a PBE calculation of a relaxed BiPdSe crystal, from Alexandria.

Values from the calculation:
formation energy without anion corrections	-8.681	kcal/mol of atoms

Structure (CIF):
```
data_BiPdSe
_chemical_formula_sum 'Bi4 Pd4 Se4'
_symmetry_space_group_name_H-M 'P 21 3'
_symmetry_Int_Tables_number 198
_symmetry_space_group_name_Hall 'P 2ac 2ab 3'
_cell_length_a 6.535
_cell_length_b 6.535
_cell_length_c 6.535
_cell_angle_alpha 90.00
_cell_angle_beta 90.00
_cell_angle_gamma 90.00
loop_
_atom_site_label
_atom_site_type_symbol
_atom_site_fract_x
_atom_site_fract_y
_atom_site_fract_z
Bi1 Bi 0.120 0.120 0.120
Pd1 Pd 0.237 0.263 0.737
Se1 Se 0.132 0.632 0.868
```

No. 7
The following is a PBE calculation of a relaxed Ce6CdPb crystal, from Alexandria.

Structure (CIF):
```
data_Ce6CdPb
_chemical_formula_sum 'Ce6 Cd1 Pb1'
_symmetry_space_group_name_H-M 'P 4/m m m'
_symmetry_Int_Tables_number 123
_symmetry_space_group_name_Hall '-P 4 2'
_cell_length_a 4.822
_cell_length_b 4.822
_cell_length_c 9.587
_cell_angle_alpha 90.00
_cell_angle_beta 90.00
_cell_angle_gamma 90.00
loop_
_atom_site_label
_atom_site_type_symbol
_atom_site_fract_x
_atom_site_fract_y
_atom_site_fract_z
Ce1 Ce 0.000 0.000 0.000
Ce2 Ce 0.000 0.000 0.500
Ce3 Ce 0.000 0.500 0.249
Cd1 Cd 0.500 0.500 0.000
Pb1 Pb 0.500 0.500 0.500
```

No. 8
The following is a PBE calculation of a relaxed ScCrIN2 crystal, from Alexandria.

Values from the calculation:
formation energy without anion corrections	16.842	kcal/mol of atoms
polymorph energy (0 for the lowest one)	0.313	eV/atom

Structure (CIF):
```
data_ScCrIN2
_chemical_formula_sum 'Sc1 Cr1 I1 N2'
_symmetry_space_group_name_H-M 'P 4/m m m'
_symmetry_Int_Tables_number 123
_symmetry_space_group_name_Hall '-P 4 2'
_cell_length_a 4.136
_cell_length_b 4.136
_cell_length_c 6.018
_cell_angle_alpha 90.00
_cell_angle_beta 90.00
_cell_angle_gamma 90.00
loop_
_atom_site_label
_atom_site_type_symbol
_atom_site_fract_x
_atom_site_fract_y
_atom_site_fract_z
Sc1 Sc 0.000 0.000 0.000
Cr1 Cr 0.500 0.500 0.500
I1 I 0.000 0.000 0.500
N1 N 0.000 0.500 0.000
```

No. 9
The following is a PBE calculation of a relaxed Nd2Tm3Tl4 crystal, from Alexandria.

Values from the calculation:
polymorph energy (0 for the lowest one)	0.040	eV/atom

Structure (CIF):
```
data_Nd2Tm3Tl4
_chemical_formula_sum 'Nd8 Tm12 Tl16'
_symmetry_space_group_name_H-M 'C m c e'
_symmetry_Int_Tables_number 64
_symmetry_space_group_name_Hall '-C 2ac 2'
_cell_length_a 7.093
_cell_length_b 16.748
_cell_length_c 9.011
_cell_angle_alpha 90.00
_cell_angle_beta 90.00
_cell_angle_gamma 90.00
loop_
_atom_site_label
_atom_site_type_symbol
_atom_site_fract_x
_atom_site_fract_y
_atom_site_fract_z
Nd1 Nd 0.000 0.109 0.079
Tm1 Tm 0.000 0.000 0.500
Tm2 Tm 0.250 0.217 0.750
Tl1 Tl 0.000 0.183 0.457
Tl2 Tl 0.250 0.036 0.750
```

No. 10
The following is a PBE calculation of a relaxed PmSi3Ir2 crystal, from Alexandria.

Values from the calculation:
formation energy without anion corrections	-18.990	kcal/mol of atoms
polymorph energy (0 for the lowest one)	0.000	eV/atom

Structure (CIF):
```
data_PmSi3Ir2
_chemical_formula_sum 'Pm6 Si18 Ir12'
_symmetry_space_group_name_H-M 'C 1 2/m 1'
_symmetry_Int_Tables_number 12
_cell_length_a 16.033
_cell_length_b 4.007
_cell_length_c 9.584
_cell_angle_alpha 90.00
_cell_angle_beta 103.12
_cell_angle_gamma 90.00
loop_
_symmetry_equiv_pos_as_xyz
'x,y,z'
'-x,-y,-z'
'-x,y,-z'
'x,-y,z'
'x+1/2,y+1/2,z'
'-x+1/2,-y+1/2,-z'
'-x+1/2,y+1/2,-z'
'x+1/2,-y+1/2,z'
loop_
_atom_site_label
_atom_site_type_symbol
_atom_site_fract_x
_atom_site_fract_y
_atom_site_fract_z
Pm1 Pm 0.000 0.000 0.000
Pm2 Pm 0.152 0.000 0.700
Si1 Si 0.000 0.500 0.500
Si2 Si 0.047 0.000 0.371
Si3 Si 0.140 0.500 0.183
Si4 Si 0.144 0.500 0.930
Si5 Si 0.222 0.000 0.369
Ir1 Ir 0.007 0.500 0.763
Ir2 Ir 0.148 0.500 0.439
Ir3 Ir 0.208 0.000 0.090
```

No. 11
The following is a PBE calculation of a relaxed Sr4Cd3 crystal, from Alexandria.

Values from the calculation:
polymorph energy (0 for the lowest one)	0.000	eV/atom

Structure (CIF):
```
data_Sr4Cd3
_chemical_formula_sum 'Sr12 Cd9'
_symmetry_space_group_name_H-M 'R -3 m'
_symmetry_Int_Tables_number 166
_symmetry_space_group_name_Hall '-R 3 2"'
_cell_length_a 5.7522
_cell_length_b 5.7522
_cell_length_c 27.8972
_cell_angle_alpha 90.00
_cell_angle_beta 90.00
_cell_angle_gamma 120.00
loop_
_atom_site_label
_atom_site_type_symbol
_atom_site_fract_x
_atom_site_fract_y
_atom_site_fract_z
Sr1 Sr 0.0000 0.0000 0.1248
Sr2 Sr 0.0000 0.0000 0.3753
Cd1 Cd 0.0000 0.0000 0.0000
Cd2 Cd 0.0000 0.0000 0.2508
```

No. 12
The following is a PBE calculation of a relaxed MgNp2P3Ir12 crystal, from Alexandria.

Structure (CIF):
```
data_MgNp2P3Ir12
_chemical_formula_sum 'Mg3 Np6 P9 Ir36'
_symmetry_space_group_name_H-M 'R -3 m'
_symmetry_Int_Tables_number 166
_symmetry_space_group_name_Hall '-R 3 2"'
_cell_length_a 8.6367
_cell_length_b 8.6367
_cell_length_c 13.6673
_cell_angle_alpha 90.00
_cell_angle_beta 90.00
_cell_angle_gamma 120.00
loop_
_atom_site_label
_atom_site_type_symbol
_atom_site_fract_x
_atom_site_fract_y
_atom_site_fract_z
Mg1 Mg 0.0000 0.0000 0.0000
Np1 Np 0.0000 0.0000 0.4129
P1 P 0.0000 0.5000 0.5000
Ir1 Ir 0.0228 0.5114 0.3329
Ir2 Ir 0.0348 0.5174 0.8697
```

No. 13
The following is a PBE calculation of a relaxed Mg2TlNi crystal, from Alexandria.

Structure (CIF):
```
data_Mg2TlNi
_chemical_formula_sum 'Mg4 Tl2 Ni2'
_symmetry_space_group_name_H-M 'C 1 2/m 1'
_symmetry_Int_Tables_number 12
_cell_length_a 6.134
_cell_length_b 6.165
_cell_length_c 3.929
_cell_angle_alpha 90.00
_cell_angle_beta 90.12
_cell_angle_gamma 90.00
loop_
_symmetry_equiv_pos_as_xyz
'x,y,z'
'-x,-y,-z'
'-x,y,-z'
'x,-y,z'
'x+1/2,y+1/2,z'
'-x+1/2,-y+1/2,-z'
'-x+1/2,y+1/2,-z'
'x+1/2,-y+1/2,z'
loop_
_atom_site_label
_atom_site_type_symbol
_atom_site_fract_x
_atom_site_fract_y
_atom_site_fract_z
Mg1 Mg 0.250 0.250 0.000
Tl1 Tl 0.000 0.000 0.500
Ni1 Ni 0.000 0.500 0.500
```

No. 14
The following is a PBE calculation of a relaxed Mg2CoW crystal, from Alexandria.

Values from the calculation:
polymorph energy (0 for the lowest one)	0.313	eV/atom

Structure (CIF):
```
data_Mg2CoW
_chemical_formula_sum 'Mg2 Co1 W1'
_symmetry_space_group_name_H-M 'P m m m'
_symmetry_Int_Tables_number 47
_cell_length_a 3.034
_cell_length_b 4.457
_cell_length_c 4.620
_cell_angle_alpha 90.00
_cell_angle_beta 90.00
_cell_angle_gamma 90.00
loop_
_symmetry_equiv_pos_as_xyz
'x,y,z'
'-x,-y,-z'
'-x,-y,z'
'x,y,-z'
'x,-y,-z'
'-x,y,z'
'-x,y,-z'
'x,-y,z'
loop_
_atom_site_label
_atom_site_type_symbol
_atom_site_fract_x
_atom_site_fract_y
_atom_site_fract_z
Mg1 Mg 0.000 0.000 0.000
Mg2 Mg 0.500 0.500 0.000
Co1 Co 0.000 0.500 0.500
W1 W 0.500 0.000 0.500
```

Across the entries above, total magnetization takes the values 0.0, 0.0, 0.0, 0.0, 0.0, 0.0, 6.0, 3.7, 0.0, 0.0, 0.0, 0.0, 0.0, 1.2 μB per formula unit, respectively.
Across the entries above, calculated total energy takes the values -6.75, -6.54, -1.21, -1.93, -3.43, -4.56, -5.16, -6.10, -3.84, -7.28, -1.60, -8.40, -2.80, -5.35 eV/atom, respectively.
Across the entries above, calculated density takes the values 8.51, 6.63, 1.17, 7.60, 3.47, 9.38, 8.64, 4.06, 10.01, 10.20, 4.29, 16.35, 6.97, 7.75 g/cm3, respectively.